(1)
DFT (PBE) results for an optimized crystal structure of MgAg2Ru.

Cell lengths 4.001, 4.001, 4.171 Å; angles 90.00, 90.00, 90.00 degrees
Each line ends with the local moment (μB).
Fractional positions:
Mg  0.500  0.000  0.500  -0.01
Ag  0.500  0.500  0.000  -0.01
Ag  0.000  0.000  0.000  -0.01
Ru  0.000  0.500  0.500  0.68

---

(2)
DFT (PBE) results for an optimized crystal structure of Tb2PrNd2.

Cell lengths 3.853, 9.495, 9.495 Å; angles 90.00, 90.00, 90.00 degrees
Fractional positions:
Pr  0.000  0.500  0.500
Tb  0.500  0.831  0.331
Tb  0.500  0.331  0.169
Nd  0.000  0.371  0.871
Pr  0.000  0.000  0.000
Nd  0.000  0.129  0.371
Tb  0.500  0.669  0.831
Nd  0.000  0.871  0.629
Tb  0.500  0.169  0.669
Nd  0.000  0.629  0.129

Properties
energy above the lowest structure with this stoichiometry	43	meV per atom

---

For each record above, in turn, the calculated formation energy values are 0.1879 0.0889 eV/atom.
For each record above, in turn, the calculated V values are 16.7 34.7 A^3/atom.